No. 1
Here is LaScNi2 after structural relaxation from the Alexandria database. Energies are from GGA-PBEsol.

## Properties
DFT formation energy, eV/atom: -0.317
Space-group type: P4/mmm
ΔE to the lowest computed polymorph, meV per atom: 26

a = 3.2641 Å, b = 3.2641 Å, c = 6.7009 Å
α = 90.00°, β = 90.00°, γ = 90.00°
Last column: nearest neighbours and their distance in Å.
Fractional positions:
Sc 0.5000 0.5000 0.0000  8 Ni 2.68
Ni 0.0000 0.0000 0.7961  4 Sc 2.68, 1 Ni 2.73
La 0.5000 0.5000 0.5000  8 Ni 3.04, 4 La 3.26, 2 Sc 3.35
Ni 0.0000 0.0000 0.2039  4 Sc 2.68, 1 Ni 2.73



No. 2
Here is La2SiS after structural relaxation from the Alexandria database. Energies are from GGA-PBEsol.

## Properties
Space-group type: Fm-3m
ΔE to the lowest computed polymorph, meV per atom: 0
Uncorrected formation energy, eV/f.u.: -4.4

a = 5.1226 Å, b = 5.1226 Å, c = 5.1226 Å
α = 60.00°, β = 60.00°, γ = 60.00°
Last column: nearest neighbours and their distance in Å.
Fractional positions:
S 0.5000 0.5000 0.5000  8 La 3.14
La 0.7500 0.7500 0.7500  4 S 3.14, 4 Si 3.14
Si 0.0000 0.0000 0.0000  8 La 3.14
La 0.2500 0.2500 0.2500  4 S 3.14, 4 Si 3.14



No. 3
Here is EuBi2IO4 after structural relaxation from the Alexandria database. Energies are from GGA-PBEsol.

## Properties
Space-group type: P4/mmm
Uncorrected formation energy, eV/f.u.: -13.9

a = 3.9298 Å, b = 3.9298 Å, c = 9.5353 Å
α = 90.00°, β = 90.00°, γ = 90.00°
Last column: nearest neighbours and their distance in Å.
Fractional positions:
Bi 0.5000 0.5000 0.7372  4 O 2.24
O 0.0000 0.5000 0.1489  2 Bi 2.24, 2 Eu 2.42
I 0.0000 0.0000 0.5000  8 Bi 3.58, 8 O 3.88, 4 I 3.93
O 0.5000 0.0000 0.1489  2 Bi 2.24, 2 Eu 2.42
Eu 0.0000 0.0000 0.0000  8 O 2.42
O 0.0000 0.5000 0.8511  2 Bi 2.24, 2 Eu 2.42
Bi 0.5000 0.5000 0.2628  4 O 2.24
O 0.5000 0.0000 0.8511  2 Bi 2.24, 2 Eu 2.42



No. 4
Here is MoH4O5 after structural relaxation from the Alexandria database. Energies are from GGA-PBEsol.

## Properties
Space-group type: Pc
ΔE to the lowest computed polymorph, meV per atom: 12

a = 3.9320 Å, b = 6.5477 Å, c = 7.9205 Å
α = 105.17°, β = 90.00°, γ = 90.00°
Last column: nearest neighbours and their distance in Å.
Fractional positions:
Mo 0.4830 0.0150 0.2355  4 O 1.72-1.90
O 0.6076 0.2990 0.2507  1 H 1.02
Mo 0.5170 0.0150 0.7355  4 O 1.72-1.90
O 0.0693 0.4810 0.0411  2 H 0.99-1.04
H 0.1342 0.5870 0.5633  1 O 1.04
O 0.4281 0.7252 0.6261  1 H 1.05
H 0.6376 0.6232 0.6025  1 O 1.05
O 0.3924 0.2990 0.7507  1 H 1.02
H 0.3624 0.6232 0.1025  1 O 1.05
O 0.5719 0.7252 0.1261  1 H 1.05
H 0.7394 0.3698 0.3618  1 O 1.02
H 0.9943 0.3811 0.6101  1 O 0.99
O 0.0447 0.0033 0.2091  1 Mo 1.74
O 0.9307 0.4810 0.5411  2 H 0.99-1.04
H 0.0057 0.3811 0.1101  1 O 0.99
O 0.4817 0.0267 0.9542  1 Mo 1.72
H 0.8658 0.5870 0.0633  1 O 1.04
O 0.5183 0.0267 0.4542  1 Mo 1.72
O 0.9553 0.0033 0.7091  1 Mo 1.74
H 0.2606 0.3698 0.8618  1 O 1.02



No. 5
Here is Be3Cu4 after structural relaxation from the Alexandria database. Energies are from GGA-PBEsol.

## Properties
DFT formation energy, eV/atom: -0.067
Space-group type: I4/mmm
ΔE to the lowest computed polymorph, meV per atom: 0

a = 2.6264 Å, b = 2.6264 Å, c = 10.0414 Å
α = 97.51°, β = 97.51°, γ = 90.00°
Last column: nearest neighbours and their distance in Å.
Fractional positions:
Be 0.0000 0.0000 0.0000  8 Cu 2.28
Cu 0.8463 0.8463 0.6927  5 Be 2.27-2.50, 4 Cu 2.52
Cu 0.4327 0.4327 0.8655  4 Be 2.28, 4 Cu 2.52
Cu 0.1537 0.1537 0.3073  5 Be 2.27-2.50, 4 Cu 2.52
Cu 0.5673 0.5673 0.1345  4 Be 2.28, 4 Cu 2.52
Be 0.7195 0.7195 0.4390  4 Be 2.21, 4 Cu 2.27
Be 0.2805 0.2805 0.5610  4 Be 2.21, 4 Cu 2.27



No. 6
Here is BaZr3As after structural relaxation from the Alexandria database. Energies are from GGA-PBEsol.

## Properties
DFT formation energy, eV/atom: 0.095
Space-group type: Pm-3m

a = 5.1649 Å, b = 5.1649 Å, c = 5.1649 Å
α = 90.00°, β = 90.00°, γ = 90.00°
Last column: nearest neighbours and their distance in Å.
Fractional positions:
Ba 0.5000 0.5000 0.5000  12 Zr 3.65
Zr 0.5000 0.0000 0.0000  2 As 2.58
As 0.0000 0.0000 0.0000  6 Zr 2.58
Zr 0.0000 0.5000 0.0000  2 As 2.58
Zr 0.0000 0.0000 0.5000  2 As 2.58



No. 7
Here is Li2VF5 after structural relaxation from the Alexandria database. Energies are from GGA-PBEsol.

## Properties
Space-group type: Pnma
ΔE to the lowest computed polymorph, meV per atom: 62
Uncorrected formation energy, eV/f.u.: -22.8

a = 5.9191 Å, b = 6.1896 Å, c = 8.9150 Å
α = 90.00°, β = 90.00°, γ = 90.00°
Last column: nearest neighbours and their distance in Å.
Fractional positions:
F 0.3264 0.4657 0.4299  1 Li 1.94, 2 V 1.99-2.03
Li 0.0374 0.0261 0.3270  4 F 1.91-1.96
F 0.6069 0.2500 0.9494  2 Li 1.96, 1 V 1.99
Li 0.0374 0.4739 0.3270  4 F 1.91-1.96
F 0.6736 0.9657 0.5701  1 Li 1.94, 2 V 1.99-2.03
F 0.9111 0.7500 0.8204  2 Li 1.93, 1 V 1.96
F 0.0889 0.2500 0.1796  2 Li 1.93, 1 V 1.96
Li 0.4626 0.0261 0.8270  4 F 1.91-1.96
F 0.1069 0.7500 0.5506  2 Li 1.96, 1 V 1.99
F 0.4111 0.2500 0.6796  2 Li 1.93, 1 V 1.96
Li 0.9626 0.9739 0.6730  4 F 1.91-1.96
F 0.6736 0.5343 0.5701  1 Li 1.94, 2 V 1.99-2.03
F 0.1736 0.4657 0.9299  1 Li 1.94, 2 V 1.99-2.03
V 0.5615 0.2500 0.4839  7 F 1.96-2.03
F 0.5889 0.7500 0.3204  2 Li 1.93, 1 V 1.96
V 0.9385 0.2500 0.9839  7 F 1.96-2.03
F 0.0862 0.7500 0.2382  2 Li 1.91, 1 V 1.99
F 0.4138 0.7500 0.7382  2 Li 1.91, 1 V 1.99
V 0.4385 0.7500 0.5161  7 F 1.96-2.03
Li 0.9626 0.5261 0.6730  4 F 1.91-1.96
F 0.3931 0.7500 0.0506  2 Li 1.96, 1 V 1.99
F 0.3264 0.0343 0.4299  1 Li 1.94, 2 V 1.99-2.03
F 0.8264 0.9657 0.0701  1 Li 1.94, 2 V 1.99-2.03
Li 0.5374 0.9739 0.1730  4 F 1.91-1.96
V 0.0615 0.7500 0.0161  7 F 1.96-2.03
Li 0.5374 0.5261 0.1730  4 F 1.91-1.96
F 0.9138 0.2500 0.7618  2 Li 1.91, 1 V 1.99
F 0.5862 0.2500 0.2618  2 Li 1.91, 1 V 1.99
F 0.8931 0.2500 0.4494  2 Li 1.96, 1 V 1.99
Li 0.4626 0.4739 0.8270  4 F 1.91-1.96
F 0.1736 0.0343 0.9299  1 Li 1.94, 2 V 1.99-2.03
F 0.8264 0.5343 0.0701  1 Li 1.94, 2 V 1.99-2.03



No. 8
Here is RbCd3Ni after structural relaxation from the Alexandria database. Energies are from GGA-PBEsol.

## Properties
DFT formation energy, eV/atom: 0.050
Space-group type: Pm-3m

a = 5.0521 Å, b = 5.0521 Å, c = 5.0521 Å
α = 90.00°, β = 90.00°, γ = 90.00°
Last column: nearest neighbours and their distance in Å.
Fractional positions:
Rb 0.5000 0.5000 0.5000  12 Cd 3.57
Cd 0.5000 0.0000 0.0000  2 Ni 2.53
Ni 0.0000 0.0000 0.0000  6 Cd 2.53
Cd 0.0000 0.5000 0.0000  2 Ni 2.53
Cd 0.0000 0.0000 0.5000  2 Ni 2.53



Total DFT energy (no corrections) for the records above, in order: -6.383; -6.308; -6.972; -6.502; -4.258; -6.809; -5.752; -2.105 eV/atom